A geometry-optimized Li2NpS3 structure, computed with PBE-GGA.

formation energy (no corrections) = -1344 meV/atom
excess energy over the best structure of this formula in the dataset = 0 meV per atom

Cell lengths 6.592, 6.592, 12.166 Å; angles 100.20, 100.20, 110.27 degrees
Each line ends with the local moment (μB).
Element x y z (fractional)
1 Li 0.001 0.501 0.002  0.00
2 Li 0.417 0.417 0.833  0.00
3 Li 0.833 0.333 0.667  0.00
4 Li 0.249 0.249 0.498  0.00
5 Li 0.751 0.751 0.502  0.00
6 Li 0.667 0.167 0.333  0.00
7 Li 0.583 0.583 0.167  0.00
8 Li 0.499 0.999 0.998  0.00
9 Np 0.917 0.917 0.834  3.26
10 Np 0.333 0.833 0.666  3.26
11 Np 0.167 0.667 0.334  3.26
12 Np 0.083 0.083 0.166  3.26
13 S 0.161 0.669 0.829  -0.10
14 S 0.668 0.161 0.829  -0.10
15 S 0.089 0.081 0.671  -0.10
16 S 0.582 0.589 0.671  -0.10
17 S 0.004 0.504 0.500  -0.10
18 S 0.496 0.996 0.500  -0.10
19 S 0.411 0.418 0.329  -0.10
20 S 0.919 0.911 0.329  -0.10
21 S 0.839 0.332 0.171  -0.10
22 S 0.331 0.839 0.171  -0.10
23 S 0.246 0.246 0.000  -0.10
24 S 0.754 0.754 0.000  -0.10

=====

A geometry-optimized Zr2Sc6Rh structure, computed with PBE-GGA.

DFT formation energy = -0.04 eV per atom

Cell lengths 3.125, 8.359, 8.853 Å; angles 118.17, 89.96, 90.00 degrees
Element x y z (fractional)
1 Zr 0.500 0.680 0.360
2 Zr 0.500 0.320 0.640
3 Sc 0.000 0.335 0.324
4 Sc 0.000 0.011 0.676
5 Sc 0.000 0.665 0.676
6 Sc 0.500 0.292 0.000
7 Sc 0.000 0.989 0.324
8 Sc 0.500 0.708 0.000
9 Rh 0.000 0.000 0.000

=====

A geometry-optimized RbPmPb2 structure, computed with PBE-GGA.

DFT formation energy = -0.10 eV per atom
excess energy over the best structure of this formula in the dataset = 218 meV per atom

Cell lengths 4.832, 5.268, 5.268 Å; angles 90.00, 90.00, 90.00 degrees
Element x y z (fractional)
1 Pb 0.000 0.000 0.500
2 Pb 0.000 0.500 0.000
3 Rb 0.500 0.500 0.500
4 Pm 0.500 0.000 0.000

=====

no.,energy (eV for the cell shown)
1,-148.8
2,-62.8
3,-13.5